Below is an optimized crystal structure of Li3Cr2Co2O8, with properties calculated at the PBE with a Hubbard U level.

Cell: 10.010 5.760 5.815 Å, 90.00 124.50 90.00°
Space group C2/m (No. 12)
Asymmetric unit:
Li: 0.000 0.000 0.000
Li: 0.250 0.250 0.500
Cr: 0.000 0.500 0.000
Cr: 0.000 0.500 0.500
Co: 0.250 0.250 0.000
O: 0.012 0.271 0.774
O: 0.238 0.500 0.215
O: 0.243 0.500 0.765

Output
DFT total energy	-189.23	eV for the cell shown
crystal system	monoclinic